Record 1
Entry from Alexandria via LeMat-Bulk: a geometry-optimized Cs3CuAs structure (PBE-GGA).

Cell lengths 6.486, 6.486, 6.486 Å; angles 90.00, 90.00, 90.00 degrees
Space group Pm-3m (No. 221)
Symmetry-distinct sites (fractional):
Cs 0.000 0.000 0.500 (multiplicity 3)
Cu 0.000 0.000 0.000 (multiplicity 1)
As 0.500 0.500 0.500 (multiplicity 1)

Properties
crystal system = cubic
volume = 54.57 A^3/atom
raw total energy = -1.969 eV per atom
D(E_F) = 10.298 states/eV/cell
energy relative to the elements = 0.292 eV/atom

Record 2
Entry from Alexandria via LeMat-Bulk: a geometry-optimized CsCu2As structure (PBE-GGA).

Cell lengths 4.308, 6.854, 6.884 Å; angles 90.00, 90.00, 90.00 degrees
Space group Pmmn (No. 59, origin choice 2)
Symmetry-distinct sites (fractional):
Cs 0.250 0.250 0.087 (multiplicity 2)
Cu 0.250 0.068 0.547 (multiplicity 4)
As 0.250 0.750 0.364 (multiplicity 2)

Properties
crystal system = orthorhombic
volume = 25.41 A^3/atom
raw total energy = -3.578 eV per atom
D(E_F) = 1.327 states/eV/cell
energy relative to the elements = -0.154 eV/atom

Record 3
Entry from Alexandria via LeMat-Bulk: a geometry-optimized Cs2CuAsF6 structure (PBE-GGA).

Cell lengths 6.826, 6.826, 8.172 Å; angles 90.00, 90.00, 90.00 degrees
Space group I4/mmm (No. 139)
Symmetry-distinct sites (fractional):
Cs 0.000 0.500 0.250 (multiplicity 4)
Cu 0.000 0.000 0.000 (multiplicity 2)
As 0.000 0.000 0.500 (multiplicity 2)
F 0.000 0.000 0.233 (multiplicity 4)
F 0.211 0.211 0.500 (multiplicity 8)

Properties
crystal system = tetragonal
volume = 19.04 A^3/atom
raw total energy = -4.326 eV per atom
D(E_F) = 0.000 states/eV/cell
formation energy from raw total energies = -2157.9 meV/atom

Record 4
Entry from Alexandria via LeMat-Bulk: a geometry-optimized CsCu2AsF8 structure (PBE-GGA).

Cell lengths 5.6056, 5.6056, 25.5255 Å; angles 90.00, 90.00, 120.00 degrees
Space group R-3m (No. 166, hexagonal axes)
Symmetry-distinct sites (fractional):
Cs 0.0000 0.0000 0.0000 (multiplicity 3)
Cu 0.0000 0.0000 0.2535 (multiplicity 6)
As 0.0000 0.0000 0.5000 (multiplicity 3)
F 0.0000 0.0000 0.3253 (multiplicity 6)
F 0.0161 0.5081 0.1228 (multiplicity 18)

Properties
crystal system = trigonal
volume = 19.30 A^3/atom
raw total energy = -4.218 eV per atom
D(E_F) = 52.571 states/eV/cell
formation energy from raw total energies = -1828.9 meV/atom